1.
A relaxed structure of LaOs2Br. Source: the Alexandria database, functional PBEsol.

Cell and atoms, written as CIF:
```
data_LaOs2Br
_chemical_formula_sum 'La3 Os6 Br3'
_space_group_name_H-M_alt 'R -3 m'
_space_group_IT_number 166
_space_group_name_Hall '-R 3 2"'
_cell_length_a 2.9500
_cell_length_b 2.9500
_cell_length_c 28.4919
_cell_angle_alpha 90.00
_cell_angle_beta 90.00
_cell_angle_gamma 120.00
loop_
_atom_site_label
_atom_site_type_symbol
_atom_site_fract_x
_atom_site_fract_y
_atom_site_fract_z
La1 La 0.0000 0.0000 0.0000
Os1 Os 0.0000 0.0000 0.2401
Br1 Br 0.0000 0.0000 0.5000
```

Results
As for the total energy: -6.819 eV/atom. Its polymorph energy (0 for the lowest one) is 0.324 eV per atom. The crystal system is trigonal. The calculation puts the uncorrected formation energy at 4.37 eV/f.u. The density of states at the Fermi level comes out at 4.642 states/eV/f.u.

---

2.
A relaxed structure of LaOsBr3. Source: the Alexandria database, functional PBEsol.

Cell and atoms, written as CIF:
```
data_LaOsBr3
_chemical_formula_sum 'La1 Os1 Br3'
_space_group_name_H-M_alt 'P m -3 m'
_space_group_IT_number 221
_space_group_name_Hall '-P 4 2 3'
_cell_length_a 5.756
_cell_length_b 5.756
_cell_length_c 5.756
_cell_angle_alpha 90.00
_cell_angle_beta 90.00
_cell_angle_gamma 90.00
loop_
_atom_site_label
_atom_site_type_symbol
_atom_site_fract_x
_atom_site_fract_y
_atom_site_fract_z
La1 La 0.000 0.000 0.000
Os1 Os 0.500 0.500 0.500
Br1 Br 0.000 0.000 0.500
```

Results
As for the total energy: -4.317 eV/atom. Its polymorph energy (0 for the lowest one) is 0.379 eV per atom. The crystal system is cubic. The calculation puts the uncorrected formation energy at 1.59 eV/f.u. The density of states at the Fermi level comes out at 8.571 states/eV/f.u.

---

3.
A relaxed structure of LaOsBr3. Source: the Alexandria database, functional PBEsol.

Cell and atoms, written as CIF:
```
data_LaOsBr3
_chemical_formula_sum 'La1 Os1 Br3'
_space_group_name_H-M_alt 'P m -3 m'
_space_group_IT_number 221
_space_group_name_Hall '-P 4 2 3'
_cell_length_a 4.960
_cell_length_b 4.960
_cell_length_c 4.960
_cell_angle_alpha 90.00
_cell_angle_beta 90.00
_cell_angle_gamma 90.00
loop_
_atom_site_label
_atom_site_type_symbol
_atom_site_fract_x
_atom_site_fract_y
_atom_site_fract_z
La1 La 0.000 0.000 0.000
Os1 Os 0.500 0.500 0.500
Br1 Br 0.000 0.500 0.500
```

Results
As for the total energy: -4.696 eV/atom. Its polymorph energy (0 for the lowest one) is 0.000 eV per atom. The crystal system is cubic. The calculation puts the uncorrected formation energy at -0.31 eV/f.u. The density of states at the Fermi level comes out at 3.320 states/eV/f.u.

---

| no. | magnetic moment (μB/cell) |
| --- | --- |
| 1 | 0.00 |
| 2 | 4.00 |
| 3 | 0.21 |